(1)
5
Lattice="5.779 0.000 0.000 0.000 5.779 0.000 0.000 0.000 5.779" Properties=species:S:1:pos:R:3 comment="CsYAg3 GGA-PBE relaxed" dos_ef_per_ev_cell=4.179 dft_energy_ev_per_cell=-9.91 de_polymorph_ev_per_atom=0.811 m_tot_mub_per_fu=0.0 spacegroup="Pm-3m, No. 221" pbc="T T T"
Cs 0.000 0.000 0.000
Y 2.890 2.890 2.890
Ag 0.000 0.000 2.890
Ag 0.000 2.890 0.000
Ag 2.890 0.000 0.000



(2)
5
Lattice="5.600 0.000 0.000 0.000 5.600 0.000 0.000 0.000 5.600" Properties=species:S:1:pos:R:3 comment="CsY3Ag GGA-PBE relaxed" dos_ef_per_ev_cell=4.363 dft_energy_ev_per_cell=-16.36 de_polymorph_ev_per_atom=0.949 m_tot_mub_per_fu=0.0 spacegroup="Pm-3m, No. 221" pbc="T T T"
Cs 0.000 0.000 0.000
Y 0.000 0.000 2.800
Y 0.000 2.800 0.000
Y 2.800 0.000 0.000
Ag 2.800 2.800 2.800